1.
The following is a DFT calculation (PBE) of crystalline LiNiAu at its relaxed geometry.

abc: 5.358 3.863 8.221
angles: 90.00 105.05 90.00
Each line ends with the local moment (μB).
Fractional coordinates of all 12 atoms:
1 Li 0.376 0.000 0.652  0.00
2 Li 0.720 0.000 0.332  0.00
3 Li 0.720 0.500 0.832  0.00
4 Li 0.376 0.500 0.152  0.00
5 Ni 0.056 0.500 0.497  0.26
6 Ni 0.056 0.000 0.997  0.26
7 Ni 0.195 0.500 0.831  0.21
8 Ni 0.195 0.000 0.331  0.21
9 Au 0.901 0.500 0.167  0.01
10 Au 0.901 0.000 0.667  0.01
11 Au 0.535 0.500 0.483  -0.01
12 Au 0.535 0.000 0.983  -0.01

Magnetic moment = 0.071 μB/atom
Symmetry = No. 8
Formation enthalpy at 0 K = -220 meV/atom

2.
The following is a DFT calculation (PBE) of crystalline LiNi2Au at its relaxed geometry.

abc: 4.995 4.995 4.995
angles: 146.98 131.16 60.23
Each line ends with the local moment (μB).
Fractional coordinates of all 4 atoms:
1 Ni 0.008 0.008 0.000  0.16
2 Ni 0.492 0.492 0.000  0.16
3 Au 0.750 0.250 0.500  -0.01
4 Li 0.250 0.750 0.500  0.00

Magnetic moment = 0.070 μB/atom
Symmetry = No. 71
Formation enthalpy at 0 K = -41 meV/atom

3.
The following is a DFT calculation (PBE) of crystalline LiNi2Au at its relaxed geometry.

abc: 4.498 4.498 4.623
angles: 80.06 80.06 34.81
Each line ends with the local moment (μB).
Fractional coordinates of all 4 atoms:
1 Ni 0.008 0.008 0.971  0.44
2 Ni 0.745 0.745 0.791  0.48
3 Au 0.495 0.495 0.482  0.00
4 Li 0.251 0.251 0.255  -0.01

Magnetic moment = 0.212 μB/atom
Symmetry = No. 8
Formation enthalpy at 0 K = -42 meV/atom

4.
The following is a DFT calculation (PBE) of crystalline LiNi2Au at its relaxed geometry.

abc: 2.962 2.962 5.962
angles: 90.00 90.00 90.00
Each line ends with the local moment (μB).
Fractional coordinates of all 4 atoms:
1 Li 0.500 0.500 0.769  -0.01
2 Ni 0.500 0.500 0.212  0.53
3 Ni 0.000 0.000 0.017  0.56
4 Au 0.000 0.000 0.502  0.00

Magnetic moment = 0.259 μB/atom
Symmetry = No. 99
Formation enthalpy at 0 K = -26 meV/atom

5.
The following is a DFT calculation (PBE) of crystalline LiNiAu2 at its relaxed geometry.

abc: 4.404 3.031 4.403
angles: 90.01 90.00 90.00
Fractional coordinates of all 4 atoms:
1 Au 0.000 0.125 0.876
2 Au 0.500 0.125 0.373
3 Ni 0.500 0.625 0.873
4 Li 0.000 0.625 0.377

Magnetic moment = 0.000 μB/atom
Symmetry = No. 25
Formation enthalpy at 0 K = -270 meV/atom

6.
The following is a DFT calculation (PBE) of crystalline LiNiAu at its relaxed geometry.

abc: 3.658 12.006 3.744
angles: 90.00 90.00 90.00
Each line ends with the local moment (μB).
Fractional coordinates of all 12 atoms:
1 Ni 0.000 0.747 0.250  0.21
2 Ni 0.000 0.253 0.750  0.21
3 Ni 0.500 0.247 0.250  0.21
4 Ni 0.500 0.753 0.750  0.21
5 Au 0.500 0.091 0.750  0.01
6 Au 0.000 0.409 0.250  0.01
7 Au 0.000 0.591 0.750  0.01
8 Au 0.500 0.909 0.250  0.01
9 Li 0.500 0.410 0.750  0.00
10 Li 0.500 0.590 0.250  0.00
11 Li 0.000 0.910 0.750  0.00
12 Li 0.000 0.090 0.250  0.00

Magnetic moment = 0.067 μB/atom
Symmetry = No. 63
Formation enthalpy at 0 K = -218 meV/atom

Values for VASP energy, eV/cell, ordered as above
-46.5, -16.9, -16.9, -16.9, -15.3, -46.5